[1]
GGA+U CsTbCoO3, optimized geometry; crystal system = monoclinic; E_tot = -6.3291 eV/atom; symmetry = P2_1/m, No. 11
1.0
-2.655 1.690 -1.762
-5.576 -3.710 4.842
2.321 7.337 3.539
Tb O Cs Co
2 6 2 2
Direct
0.250 0.658 0.143 Tb
0.750 0.342 0.857 Tb
0.750 0.477 0.134 O
0.250 0.160 0.857 O
0.750 0.840 0.143 O
0.250 0.844 0.438 O
0.250 0.523 0.866 O
0.750 0.156 0.562 O
0.250 0.214 0.229 Cs
0.750 0.786 0.771 Cs
0.250 0.075 0.619 Co
0.750 0.925 0.381 Co

---

[2]
GGA+U CsCoTeO6, optimized geometry; crystal system = monoclinic; E_tot = -5.2849 eV/atom; symmetry = C2, No. 5
1.0
-4.597 1.934 -1.151
-2.380 -1.436 -4.298
-3.010 -5.118 3.388
Cs O Co Te
1 6 1 1
Direct
0.000 0.000 0.000 Cs
0.012 0.601 0.660 O
0.599 0.389 0.661 O
0.013 0.387 0.339 O
0.387 0.013 0.661 O
0.389 0.599 0.339 O
0.601 0.012 0.339 O
0.333 0.333 0.500 Co
0.667 0.667 0.500 Te

---

[3]
GGA+U Cs2CoTeO6, optimized geometry; crystal system = trigonal; E_tot = -5.1351 eV/atom; symmetry = P-3m1, No. 164
1.0
5.142 0.000 0.000
0.000 6.566 0.000
0.000 -3.283 5.686
O Te Co Cs
6 1 1 2
Direct
0.743 0.129 0.871 O
0.743 0.129 0.257 O
0.257 0.257 0.129 O
0.743 0.743 0.871 O
0.257 0.871 0.129 O
0.257 0.871 0.743 O
0.000 0.000 0.000 Te
0.500 0.000 0.000 Co
0.303 0.333 0.667 Cs
0.697 0.667 0.333 Cs